# BaMnPtO6, optimized geometry, DFT PBE+U
# Total energy (eV/cell): -56.60
data_BaMnPtO6
_chemical_formula_sum 'Ba1 Mn1 Pt1 O6'
_symmetry_space_group_name_H-M 'P 3 1 2'
_symmetry_Int_Tables_number 149
_cell_length_a 5.2116
_cell_length_b 5.2116
_cell_length_c 5.7990
_cell_angle_alpha 90.00
_cell_angle_beta 90.00
_cell_angle_gamma 120.00
loop_
_symmetry_equiv_pos_as_xyz
'x,y,z'
'-y,x-y,z'
'-x+y,-x,z'
'-y,-x,-z'
'-x+y,y,-z'
'x,x-y,-z'
loop_
_atom_site_label
_atom_site_type_symbol
_atom_site_fract_x
_atom_site_fract_y
_atom_site_fract_z
Ba1 Ba 0.0000 0.0000 0.0000
Mn1 Mn 0.6667 0.3333 0.5000
Pt1 Pt 0.3333 0.6667 0.5000
O1 O 0.3876 0.0079 0.3124